# AcTbP2

A relaxed AcTbP2 crystal (PBE, Alexandria via LeMat-Bulk).

It has space group R3m (No. 160, hexagonal axes), with a = 4.1782 Å, b = 4.1782 Å, c = 21.7083 Å, α = 90.00°, β = 90.00° and γ = 120.00°. The distinct sites, in fractional coordinates, are Ac at (0.0000, 0.0000, 0.0000), Tb at (0.0000, 0.0000, 0.8290), P at (0.0000, 0.0000, 0.4189) and P at (0.0000, 0.0000, 0.5733).

The value obtained for the density of states at the Fermi level is 0.52 states/eV per cell. The formation energy is -1.3240 eV/atom.